Rb2NaCd2Ag2 | PBE | optimized geometry

Summary:
DFT total energy: -1.5242 eV/atom
E_form: 16.8 meV per atom
Total magnetization: 0.000 μB per cell

a = 6.508 Å, b = 6.508 Å, c = 10.111 Å
α = 109.97°, β = 109.97°, γ = 41.85°
Fractional positions:
Rb1 0.092 0.092 0.352
Rb2 0.908 0.908 0.648
Na1 0.500 0.500 0.000
Cd1 0.226 0.226 0.771
Cd2 0.774 0.774 0.229
Ag1 0.209 0.209 0.050
Ag2 0.791 0.791 0.950